VASP calculation (PBE) on a geometry-optimized ZrSb2Pb structure.

Formation energy from raw total energies = 0.024 eV per atom
SG = R3m
D(E_F) = 3.50 states/eV/cell

a b c (Å): 11.0173 11.0173 11.0173
angles (deg): 17.54 17.54 17.54
Atoms (fractional coordinates):
Zr1 0.0000 0.0000 0.0000
Sb1 0.5004 0.5004 0.5004
Sb2 0.7405 0.7405 0.7405
Pb1 0.2539 0.2539 0.2539

***

VASP calculation (PBE) on a geometry-optimized ZrSbPb2 structure.

Formation energy from raw total energies = 0.042 eV per atom
SG = C2/m
D(E_F) = 3.15 states/eV/cell

a b c (Å): 6.4334 6.4334 3.4354
angles (deg): 103.21 103.21 121.43
Atoms (fractional coordinates):
Zr1 0.0000 0.0000 0.0000
Sb1 0.5000 0.5000 0.0000
Pb1 0.0000 0.5000 0.5000
Pb2 0.5000 0.0000 0.5000

***

VASP calculation (PBE) on a geometry-optimized Zr5SbPb2 structure.

Formation energy from raw total energies = -0.299 eV per atom
SG = Pbam
D(E_F) = 12.68 states/eV/cell

a b c (Å): 6.1977 11.9055 5.0100
angles (deg): 90.00 90.00 90.00
Atoms (fractional coordinates):
Zr1 0.0000 0.0000 0.0000
Zr2 0.1409 0.3946 0.5000
Zr3 0.1571 0.7585 0.0000
Zr4 0.3429 0.2585 0.0000
Zr5 0.3591 0.8946 0.5000
Zr6 0.5000 0.5000 0.0000
Zr7 0.6409 0.1054 0.5000
Zr8 0.6571 0.7415 0.0000
Zr9 0.8429 0.2415 0.0000
Zr10 0.8591 0.6054 0.5000
Sb1 0.0000 0.5000 0.0000
Sb2 0.5000 0.0000 0.0000
Pb1 0.1272 0.1423 0.5000
Pb2 0.3728 0.6423 0.5000
Pb3 0.6272 0.3577 0.5000
Pb4 0.8728 0.8577 0.5000

***

VASP calculation (PBE) on a geometry-optimized Zr3SbPb structure.

Formation energy from raw total energies = 0.534 eV per atom
ΔE to the lowest computed polymorph = 525.7 meV/atom
SG = Pm-3m
D(E_F) = 7.45 states/eV/cell

a b c (Å): 5.3107 5.3107 5.3107
angles (deg): 90.00 90.00 90.00
Atoms (fractional coordinates):
Zr1 0.0000 0.0000 0.5000
Zr2 0.0000 0.5000 0.0000
Zr3 0.5000 0.0000 0.0000
Sb1 0.0000 0.0000 0.0000
Pb1 0.5000 0.5000 0.5000

***

What is the D(E_F) in the fourth record?
7.45 states/eV/cell

***

What is the formula in the fourth record?
Zr3SbPb

***

Copy entry 1 word for word.
VASP calculation (PBE) on a geometry-optimized ZrSb2Pb structure.

Formation energy from raw total energies = 0.024 eV per atom
SG = R3m
D(E_F) = 3.50 states/eV/cell

a b c (Å): 11.0173 11.0173 11.0173
angles (deg): 17.54 17.54 17.54
Atoms (fractional coordinates):
Zr1 0.0000 0.0000 0.0000
Sb1 0.5004 0.5004 0.5004
Sb2 0.7405 0.7405 0.7405
Pb1 0.2539 0.2539 0.2539

***

formation energy from raw total energies of number 2 (ZrSbPb2)?
0.042 eV per atom